Density functional theory data (PBE) for an optimized crystal structure of Ca7Sn6.

Cell and atoms, written as CIF:
```
data_Ca7Sn6
_chemical_formula_sum 'Ca28 Sn24'
_cell_length_a 7.9171
_cell_length_b 23.9016
_cell_length_c 8.4687
_cell_angle_alpha 90.00
_cell_angle_beta 90.00
_cell_angle_gamma 90.00
_space_group_name_H-M_alt 'P 1'
_space_group_IT_number 1
_space_group_name_Hall 'P 1'
loop_
_atom_site_label
_atom_site_type_symbol
_atom_site_fract_x
_atom_site_fract_y
_atom_site_fract_z
Ca1 Ca 0.0036 0.1633 0.1742
Ca2 Ca 0.0036 0.3367 0.1742
Ca3 Ca 0.1660 0.7500 0.4947
Ca4 Ca 0.1708 0.0219 0.3260
Ca5 Ca 0.1708 0.4781 0.3260
Ca6 Ca 0.1716 0.1478 0.6790
Ca7 Ca 0.1716 0.3522 0.6790
Ca8 Ca 0.3284 0.6478 0.1790
Ca9 Ca 0.3284 0.8522 0.1790
Ca10 Ca 0.3292 0.5219 0.8260
Ca11 Ca 0.3292 0.9781 0.8260
Ca12 Ca 0.3340 0.2500 0.9947
Ca13 Ca 0.4964 0.6633 0.6742
Ca14 Ca 0.4964 0.8367 0.6742
Ca15 Ca 0.5036 0.1633 0.3258
Ca16 Ca 0.5036 0.3367 0.3258
Ca17 Ca 0.6660 0.7500 0.0053
Ca18 Ca 0.6708 0.0219 0.1740
Ca19 Ca 0.6708 0.4781 0.1740
Ca20 Ca 0.6716 0.1478 0.8210
Ca21 Ca 0.6716 0.3522 0.8210
Ca22 Ca 0.8284 0.6478 0.3210
Ca23 Ca 0.8284 0.8522 0.3210
Ca24 Ca 0.8292 0.5219 0.6740
Ca25 Ca 0.8292 0.9781 0.6740
Ca26 Ca 0.8340 0.2500 0.5053
Ca27 Ca 0.9964 0.6633 0.8258
Ca28 Ca 0.9964 0.8367 0.8258
Sn1 Sn 0.9998 0.0579 0.9422
Sn2 Sn 0.9998 0.4421 0.9422
Sn3 Sn 0.0002 0.5579 0.0578
Sn4 Sn 0.0002 0.9421 0.0578
Sn5 Sn 0.0416 0.7500 0.1361
Sn6 Sn 0.1587 0.5992 0.5242
Sn7 Sn 0.1587 0.9008 0.5242
Sn8 Sn 0.2076 0.2500 0.3863
Sn9 Sn 0.2924 0.7500 0.8863
Sn10 Sn 0.3413 0.0992 0.0242
Sn11 Sn 0.3413 0.4008 0.0242
Sn12 Sn 0.4584 0.2500 0.6361
Sn13 Sn 0.4998 0.0579 0.5578
Sn14 Sn 0.4998 0.4421 0.5578
Sn15 Sn 0.5002 0.5579 0.4422
Sn16 Sn 0.5002 0.9421 0.4422
Sn17 Sn 0.5416 0.7500 0.3639
Sn18 Sn 0.6587 0.5992 0.9758
Sn19 Sn 0.6587 0.9008 0.9758
Sn20 Sn 0.7076 0.2500 0.1137
Sn21 Sn 0.7924 0.7500 0.6137
Sn22 Sn 0.8413 0.0992 0.4758
Sn23 Sn 0.8413 0.4008 0.4758
Sn24 Sn 0.9584 0.2500 0.8639
```

Results
VASP energy = -3.569 eV/atom
calculated formation energy = -0.644 eV per atom
calculated density = 4.11 g/cm³

Density functional theory data (PBE) for an optimized crystal structure of Rb2NpAsS6.

Cell and atoms, written as CIF:
```
data_Rb2NpAsS6
_chemical_formula_sum 'Rb2 Np1 As1 S6'
_cell_length_a 7.1589
_cell_length_b 7.1589
_cell_length_c 7.1589
_cell_angle_alpha 60.00
_cell_angle_beta 60.00
_cell_angle_gamma 60.00
_space_group_name_H-M_alt 'P 1'
_space_group_IT_number 1
_space_group_name_Hall 'P 1'
loop_
_atom_site_label
_atom_site_type_symbol
_atom_site_fract_x
_atom_site_fract_y
_atom_site_fract_z
Rb1 Rb 0.2500 0.2500 0.2500
Rb2 Rb 0.7500 0.7500 0.7500
Np1 Np 0.0000 0.0000 0.0000
As1 As 0.5000 0.5000 0.5000
S1 S 0.2491 0.2491 0.7509
S2 S 0.2491 0.7509 0.2491
S3 S 0.2491 0.7509 0.7509
S4 S 0.7509 0.2491 0.2491
S5 S 0.7509 0.2491 0.7509
S6 S 0.7509 0.7509 0.2491
```

Results
VASP energy = -5.138 eV/atom
E_form (uncorrected) = -709 meV/atom
calculated density = 4.32 g/cm³

Density functional theory data (PBE) for an optimized crystal structure of Ti2Al6Ir.

Cell and atoms, written as CIF:
```
data_Ti2Al6Ir
_chemical_formula_sum 'Ti2 Al6 Ir1'
_cell_length_a 6.5912
_cell_length_b 6.5912
_cell_length_c 4.1092
_cell_angle_alpha 90.00
_cell_angle_beta 90.00
_cell_angle_gamma 123.84
_space_group_name_H-M_alt 'P 1'
_space_group_IT_number 1
_space_group_name_Hall 'P 1'
loop_
_atom_site_label
_atom_site_type_symbol
_atom_site_fract_x
_atom_site_fract_y
_atom_site_fract_z
Ti1 Ti 0.2287 0.7713 0.0000
Ti2 Ti 0.7713 0.2287 0.0000
Al1 Al 0.1448 0.4362 0.5000
Al2 Al 0.2522 0.2522 0.0000
Al3 Al 0.4362 0.1448 0.5000
Al4 Al 0.5638 0.8552 0.5000
Al5 Al 0.7478 0.7478 0.0000
Al6 Al 0.8552 0.5638 0.5000
Ir1 Ir 0.0000 0.0000 0.5000
```

Results
VASP energy = -5.657 eV/atom
calculated formation energy = -0.423 eV per atom
calculated density = 5.04 g/cm³

Density functional theory data (PBE) for an optimized crystal structure of Ho3Pd.

Cell and atoms, written as CIF:
```
data_Ho3Pd
_chemical_formula_sum 'Ho3 Pd1'
_cell_length_a 3.5060
_cell_length_b 3.6436
_cell_length_c 9.0015
_cell_angle_alpha 90.00
_cell_angle_beta 90.00
_cell_angle_gamma 90.00
_space_group_name_H-M_alt 'P 1'
_space_group_IT_number 1
_space_group_name_Hall 'P 1'
loop_
_atom_site_label
_atom_site_type_symbol
_atom_site_fract_x
_atom_site_fract_y
_atom_site_fract_z
Ho1 Ho 0.0000 0.0000 0.0000
Ho2 Ho 0.0000 0.5000 0.3348
Ho3 Ho 0.5000 0.5000 0.7254
Pd1 Pd 0.5000 0.0000 0.4802
```

Results
VASP energy = -4.952 eV/atom
calculated formation energy = -0.221 eV per atom
calculated density = 8.68 g/cm³

Density functional theory data (PBE) for an optimized crystal structure of Cu2Sn8Pd.

Cell and atoms, written as CIF:
```
data_Cu2Sn8Pd
_chemical_formula_sum 'Cu2 Sn8 Pd1'
_cell_length_a 6.6976
_cell_length_b 6.6976
_cell_length_c 6.3467
_cell_angle_alpha 97.59
_cell_angle_beta 97.59
_cell_angle_gamma 79.13
_space_group_name_H-M_alt 'P 1'
_space_group_IT_number 1
_space_group_name_Hall 'P 1'
loop_
_atom_site_label
_atom_site_type_symbol
_atom_site_fract_x
_atom_site_fract_y
_atom_site_fract_z
Cu1 Cu 0.1114 0.1114 0.4439
Cu2 Cu 0.8886 0.8886 0.5561
Sn1 Sn 0.1845 0.7105 0.2586
Sn2 Sn 0.2628 0.2628 0.1420
Sn3 Sn 0.2895 0.8155 0.7415
Sn4 Sn 0.3433 0.3433 0.6927
Sn5 Sn 0.6567 0.6567 0.3073
Sn6 Sn 0.7105 0.1845 0.2586
Sn7 Sn 0.7372 0.7372 0.8580
Sn8 Sn 0.8155 0.2895 0.7415
Pd1 Pd 0.0000 0.0000 0.0000
```

Results
VASP energy = -4.156 eV/atom
calculated formation energy = -0.028 eV per atom
calculated density = 7.13 g/cm³

Density functional theory data (PBE) for an optimized crystal structure of SrTi3I.

Cell and atoms, written as CIF:
```
data_SrTi3I
_chemical_formula_sum 'Sr1 Ti3 I1'
_cell_length_a 5.1268
_cell_length_b 5.1268
_cell_length_c 5.1268
_cell_angle_alpha 90.00
_cell_angle_beta 90.00
_cell_angle_gamma 90.00
_space_group_name_H-M_alt 'P 1'
_space_group_IT_number 1
_space_group_name_Hall 'P 1'
loop_
_atom_site_label
_atom_site_type_symbol
_atom_site_fract_x
_atom_site_fract_y
_atom_site_fract_z
Sr1 Sr 0.0000 0.0000 0.0000
Ti1 Ti 0.0000 0.0000 0.5000
Ti2 Ti 0.0000 0.5000 0.0000
Ti3 Ti 0.5000 0.0000 0.0000
I1 I 0.5000 0.5000 0.5000
```

Results
VASP energy = -3.454 eV/atom
energy above the most stable polymorph in this dataset = 1.126 eV per atom
E_form (uncorrected) = 1929 meV/atom
calculated density = 4.41 g/cm³

> Which value of calculated density does entry 1 give?

4.11 g/cm³

> Number 3 is which compound?

Ti2Al6Ir

> Number 6 is which compound?

SrTi3I

What did the sixth record say?
Density functional theory data (PBE) for an optimized crystal structure of SrTi3I.

Cell and atoms, written as CIF:
```
data_SrTi3I
_chemical_formula_sum 'Sr1 Ti3 I1'
_cell_length_a 5.1268
_cell_length_b 5.1268
_cell_length_c 5.1268
_cell_angle_alpha 90.00
_cell_angle_beta 90.00
_cell_angle_gamma 90.00
_space_group_name_H-M_alt 'P 1'
_space_group_IT_number 1
_space_group_name_Hall 'P 1'
loop_
_atom_site_label
_atom_site_type_symbol
_atom_site_fract_x
_atom_site_fract_y
_atom_site_fract_z
Sr1 Sr 0.0000 0.0000 0.0000
Ti1 Ti 0.0000 0.0000 0.5000
Ti2 Ti 0.0000 0.5000 0.0000
Ti3 Ti 0.5000 0.0000 0.0000
I1 I 0.5000 0.5000 0.5000
```

Results
VASP energy = -3.454 eV/atom
energy above the most stable polymorph in this dataset = 1.126 eV per atom
E_form (uncorrected) = 1929 meV/atom
calculated density = 4.41 g/cm³